(1)
This record from Alexandria describes a relaxed Sr2AlHg crystal. The functional is PBE.

Cell: 4.894 4.894 10.418 Å, 90.00 90.00 90.00°
Space group I-4m2 (No. 119)
Unique sites:
Sr1 0.000 0.000 0.000 (multiplicity 2)
Sr2 0.000 0.500 0.250 (multiplicity 2)
Al1 0.000 0.500 0.750 (multiplicity 2)
Hg1 0.000 0.000 0.500 (multiplicity 2)

DFT total energy = -1.9721 eV per atom
Energy of formation = -120 meV/atom
Calculated volume = 31.19 A^3/atom
Offset from the most stable computed form = 0.76 eV/f.u.



(2)
This record from Alexandria describes a relaxed SrAl2Hg crystal. The functional is PBE.

Cell: 4.5358 4.5358 17.8142 Å, 90.00 90.00 120.00°
Space group R3m (No. 160, hexagonal axes)
Unique sites:
Sr1 0.0000 0.0000 0.0000 (multiplicity 3)
Al1 0.0000 0.0000 0.2076 (multiplicity 3)
Al2 0.0000 0.0000 0.5275 (multiplicity 3)
Hg1 0.0000 0.0000 0.7803 (multiplicity 3)

DFT total energy = -2.5821 eV per atom
Energy of formation = -215 meV/atom
Calculated volume = 26.45 A^3/atom
Offset from the most stable computed form = 0.11 eV/f.u.



(3)
This record from Alexandria describes a relaxed Sr4AlHg crystal. The functional is PBE.

Cell: 5.6275 5.6275 27.7147 Å, 90.00 90.00 120.00°
Space group R-3m (No. 166, hexagonal axes)
Unique sites:
Sr1 0.0000 0.0000 0.1220 (multiplicity 6)
Sr2 0.0000 0.0000 0.3722 (multiplicity 6)
Al1 0.0000 0.0000 0.0000 (multiplicity 3)
Hg1 0.0000 0.0000 0.5000 (multiplicity 3)

DFT total energy = -1.9271 eV per atom
Energy of formation = -132 meV/atom
Calculated volume = 42.23 A^3/atom
Offset from the most stable computed form = 0.63 eV/f.u.



(4)
This record from Alexandria describes a relaxed SrAl2Hg2 crystal. The functional is PBE.

Cell: 8.383 8.383 3.503 Å, 90.00 90.00 90.00°
Space group P4/mbm (No. 127)
Unique sites:
Sr1 0.000 0.000 0.000 (multiplicity 2)
Al1 0.156 0.344 0.500 (multiplicity 4)
Hg1 0.138 0.638 0.000 (multiplicity 4)

DFT total energy = -1.9712 eV per atom
Energy of formation = -17 meV/atom
Calculated volume = 24.61 A^3/atom
Offset from the most stable computed form = 1.35 eV/f.u.



(5)
This record from Alexandria describes a relaxed SrAl2Hg2 crystal. The functional is PBE.

Cell: 4.418 4.418 12.319 Å, 90.00 90.00 90.00°
Space group I4/mmm (No. 139)
Unique sites:
Sr1 0.000 0.000 0.000 (multiplicity 2)
Al1 0.000 0.500 0.250 (multiplicity 4)
Hg1 0.000 0.000 0.383 (multiplicity 4)

DFT total energy = -2.2420 eV per atom
Energy of formation = -288 meV/atom
Calculated volume = 24.04 A^3/atom
Offset from the most stable computed form = 0.00 eV/f.u.



(6)
This record from Alexandria describes a relaxed Sr2AlHg crystal. The functional is PBE.

Cell: 6.488 4.883 8.992 Å, 90.00 110.20 90.00°
Space group P2_1/m (No. 11)
Unique sites:
Sr1 0.207 0.250 0.424 (multiplicity 2)
Sr2 0.212 0.250 0.930 (multiplicity 2)
Al1 0.365 0.750 0.715 (multiplicity 2)
Hg1 0.377 0.750 0.220 (multiplicity 2)

DFT total energy = -2.1598 eV per atom
Energy of formation = -308 meV/atom
Calculated volume = 33.42 A^3/atom
Offset from the most stable computed form = 0.01 eV/f.u.



(7)
This record from Alexandria describes a relaxed Sr4AlHg crystal. The functional is PBE.

Cell: 4.029 4.029 14.302 Å, 90.00 90.00 90.00°
Space group P4/mmm (No. 123)
Unique sites:
Sr1 0.000 0.000 0.132 (multiplicity 2)
Sr2 0.500 0.500 0.365 (multiplicity 2)
Al1 0.500 0.500 0.000 (multiplicity 1)
Hg1 0.000 0.000 0.500 (multiplicity 1)

DFT total energy = -2.0313 eV per atom
Energy of formation = -236 meV/atom
Calculated volume = 38.69 A^3/atom
Offset from the most stable computed form = 0.00 eV/f.u.



(8)
This record from Alexandria describes a relaxed Sr2AlHg8 crystal. The functional is PBE.

Cell: 5.108 6.885 9.185 Å, 73.20 74.36 89.95°
Space group P-1 (No. 2)
Unique sites:
Sr1 0.209 0.192 0.081 (multiplicity 2)
Al1 0.500 0.500 0.500 (multiplicity 1)
Hg1 0.007 0.238 0.481 (multiplicity 2)
Hg2 0.162 0.667 0.179 (multiplicity 2)
Hg3 0.364 0.623 0.770 (multiplicity 2)
Hg4 0.396 0.092 0.705 (multiplicity 2)

DFT total energy = -1.1193 eV per atom
Energy of formation = -254 meV/atom
Calculated volume = 26.98 A^3/atom



(9)
This record from Alexandria describes a relaxed SrAlHg crystal. The functional is PBE.

Cell: 7.471 7.471 7.471 Å, 90.00 90.00 90.00°
Space group F-43m (No. 216)
Unique sites:
Sr1 0.000 0.000 0.000 (multiplicity 4)
Al1 0.250 0.250 0.250 (multiplicity 4)
Hg1 0.250 0.250 0.750 (multiplicity 4)

DFT total energy = -1.6413 eV per atom
Energy of formation = 267 meV/atom
Calculated volume = 34.75 A^3/atom
Offset from the most stable computed form = 1.99 eV/f.u.



(10)
This record from Alexandria describes a relaxed Sr2AlHg crystal. The functional is PBE.

Cell: 7.976 7.976 7.976 Å, 90.00 90.00 90.00°
Space group Fm-3m (No. 225)
Unique sites:
Sr1 0.250 0.250 0.250 (multiplicity 8)
Al1 0.000 0.000 0.000 (multiplicity 4)
Hg1 0.000 0.000 0.500 (multiplicity 4)

DFT total energy = -2.1619 eV per atom
Energy of formation = -310 meV/atom
Calculated volume = 31.72 A^3/atom
Offset from the most stable computed form = 0.00 eV/f.u.



(11)
This record from Alexandria describes a relaxed SrAlHg crystal. The functional is PBE.

Cell: 4.539 4.539 7.958 Å, 90.00 90.00 90.00°
Space group P4/nmm (No. 129, origin choice 2)
Unique sites:
Sr1 0.250 0.250 0.170 (multiplicity 2)
Al1 0.250 0.750 0.500 (multiplicity 2)
Hg1 0.250 0.250 0.720 (multiplicity 2)

DFT total energy = -2.2616 eV per atom
Energy of formation = -353 meV/atom
Calculated volume = 27.33 A^3/atom
Offset from the most stable computed form = 0.13 eV/f.u.



(12)
This record from Alexandria describes a relaxed SrAl2Hg crystal. The functional is PBE.

Cell: 4.981 5.359 7.289 Å, 90.00 90.00 90.00°
Space group Imm2 (No. 44)
Unique sites:
Sr1 0.000 0.000 0.000 (multiplicity 2)
Al1 0.000 0.000 0.511 (multiplicity 2)
Al2 0.000 0.500 0.233 (multiplicity 2)
Hg1 0.000 0.500 0.766 (multiplicity 2)

DFT total energy = -2.4481 eV per atom
Energy of formation = -81 meV/atom
Calculated volume = 24.32 A^3/atom
Offset from the most stable computed form = 0.65 eV/f.u.